# LiAl5Ga4

Crystalline LiAl5Ga4 at its relaxed geometry (PBE-GGA, Alexandria via LeMat-Bulk).

Cell lengths 4.918, 6.155, 6.298 Å; angles 85.36, 81.27, 84.08 degrees
Atoms (fractional coordinates):
1 Li 0.000 0.000 0.000
2 Al 0.004 0.346 0.687
3 Al 0.497 0.814 0.162
4 Al 0.500 0.500 0.500
5 Al 0.503 0.186 0.838
6 Al 0.996 0.654 0.313
7 Ga 0.245 0.907 0.600
8 Ga 0.253 0.250 0.242
9 Ga 0.747 0.750 0.758
10 Ga 0.755 0.093 0.400

Output
space-group type = P-1 (2)
spin magnetization = 0.00 μB per formula unit
uncorrected energy = -3.224 eV/atom